(1)
# KAc2PrSe4 | the Alexandria database | PBE-GGA | relaxed
data_KAc2PrSe4
_space_group_name_H-M_alt 'P 1 2/m 1'
_space_group_IT_number 10
_cell_length_a 7.6247
_cell_length_b 4.4292
_cell_length_c 7.8003
_cell_angle_alpha 90.00
_cell_angle_beta 109.21
_cell_angle_gamma 90.00
loop_
_space_group_symop_operation_xyz
'x,y,z'
'-x,-y,-z'
'-x,y,-z'
'x,-y,z'
loop_
_atom_site_label
_atom_site_type_symbol
_atom_site_fract_x
_atom_site_fract_y
_atom_site_fract_z
K1 K 0.0000 0.0000 0.0000
Ac1 Ac 0.5000 0.0000 0.5000
Ac2 Ac 0.5000 0.5000 0.0000
Pr1 Pr 0.0000 0.5000 0.5000
Se1 Se 0.2443 0.0000 0.7422
Se2 Se 0.2534 0.5000 0.2601
# * total energy: -0.389 Ry per atom
# * raw formation energy: -1.788 eV per atom

=====

(2)
# CaAl3CuAu | the Alexandria database | PBE-GGA | relaxed
data_CaAl3CuAu
_space_group_name_H-M_alt 'C m c m'
_space_group_IT_number 63
_space_group_name_Hall '-C 2c 2'
_cell_length_a 6.2517
_cell_length_b 12.6292
_cell_length_c 5.8093
_cell_angle_alpha 90.00
_cell_angle_beta 90.00
_cell_angle_gamma 90.00
loop_
_atom_site_label
_atom_site_type_symbol
_atom_site_fract_x
_atom_site_fract_y
_atom_site_fract_z
Ca1 Ca 0.0000 0.2186 0.2500
Al1 Al 0.0000 0.3630 0.7500
Al2 Al 0.2110 0.0000 0.0000
Cu1 Cu 0.0000 0.4346 0.2500
Au1 Au 0.0000 0.1539 0.7500
# * total energy: -0.274 Ry per atom
# * formation energy from the elements: -0.290 eV/atom

=====

(3)
# Tb2NdTm3 | the Alexandria database | PBE-GGA | relaxed
data_Tb2NdTm3
_space_group_name_H-M_alt 'C m c m'
_space_group_IT_number 63
_space_group_name_Hall '-C 2c 2'
_cell_length_a 10.6920
_cell_length_b 6.1694
_cell_length_c 11.4595
_cell_angle_alpha 90.00
_cell_angle_beta 90.00
_cell_angle_gamma 90.00
loop_
_atom_site_label
_atom_site_type_symbol
_atom_site_fract_x
_atom_site_fract_y
_atom_site_fract_z
Tb1 Tb 0.1664 0.1664 0.2500
Nd1 Nd 0.0000 0.3340 0.7500
Tm1 Tm 0.0000 0.0000 0.0000
Tm2 Tm 0.1674 0.5000 0.0000
# * energy above the most stable polymorph in this dataset: 0.000 eV per formula unit
# * total energy: -0.335 Ry per atom
# * formation energy from the elements: 0.020 eV/atom

=====

(4)
# Er2Pu3UAs6 | the Alexandria database | PBE-GGA | relaxed
data_Er2Pu3UAs6
_space_group_name_H-M_alt 'C 1 2/m 1'
_space_group_IT_number 12
_cell_length_a 17.8737
_cell_length_b 4.1116
_cell_length_c 8.2254
_cell_angle_alpha 90.00
_cell_angle_beta 102.87
_cell_angle_gamma 90.00
loop_
_space_group_symop_operation_xyz
'x,y,z'
'-x,-y,-z'
'-x,y,-z'
'x,-y,z'
'x+1/2,y+1/2,z'
'-x+1/2,-y+1/2,-z'
'-x+1/2,y+1/2,-z'
'x+1/2,-y+1/2,z'
loop_
_atom_site_label
_atom_site_type_symbol
_atom_site_fract_x
_atom_site_fract_y
_atom_site_fract_z
Er1 Er 0.1679 0.0000 0.3367
Pu1 Pu 0.0000 0.5000 0.5000
Pu2 Pu 0.1670 0.0000 0.8338
U1 U 0.0000 0.5000 0.0000
As1 As 0.0011 0.0000 0.2467
As2 As 0.1652 0.5000 0.0849
As3 As 0.1667 0.5000 0.5840
# * total energy: -0.644 Ry per atom
# * formation energy from the elements: -1.147 eV/atom